First-principles (PBE-GGA) data for a relaxed AcTb2Pm2 crystal, as listed in Alexandria via LeMat-Bulk.

abc: 3.774 9.796 9.796
angles: 90.00 90.00 90.00
Element x y z (fractional)
Tb (0.000, 0.878, 0.378)
Pm (0.500, 0.674, 0.174)
Tb (0.000, 0.122, 0.622)
Pm (0.500, 0.326, 0.826)
Pm (0.500, 0.174, 0.326)
Ac (0.000, 0.500, 0.500)
Ac (0.000, 0.000, 0.000)
Tb (0.000, 0.378, 0.122)
Pm (0.500, 0.826, 0.674)
Tb (0.000, 0.622, 0.878)

Calculated values
* offset from the most stable computed form: 0 meV per atom
* DFT total energy: -45.01 eV/cell
* density of states at the Fermi level: 1.186 states/eV/atom
* calculated formation energy: 73 meV per atom

---

First-principles (PBE-GGA) data for a relaxed Tb6Nd2DySc3 crystal, as listed in Alexandria via LeMat-Bulk.

abc: 6.095 6.095 11.548
angles: 95.04 95.04 119.99
Element x y z (fractional)
Sc (0.500, 0.500, 0.500)
Tb (0.755, 0.755, 0.262)
Nd (0.667, 0.333, 0.000)
Tb (0.580, 0.913, 0.738)
Tb (0.420, 0.087, 0.262)
Tb (0.245, 0.245, 0.738)
Dy (0.000, 0.000, 0.000)
Tb (0.087, 0.420, 0.262)
Nd (0.333, 0.667, 0.000)
Sc (0.166, 0.834, 0.500)
Sc (0.834, 0.166, 0.500)
Tb (0.913, 0.580, 0.738)

Calculated values
* DFT total energy: -60.36 eV/cell
* density of states at the Fermi level: 1.415 states/eV/atom
* calculated formation energy: 46 meV per atom

---

First-principles (PBE-GGA) data for a relaxed TmZn12 crystal, as listed in Alexandria via LeMat-Bulk.

abc: 7.423 7.423 7.423
angles: 60.00 60.00 60.00
Element x y z (fractional)
Zn (0.500, 0.840, 0.500)
Zn (0.500, 0.500, 0.840)
Zn (0.500, 0.500, 0.160)
Zn (0.840, 0.500, 0.160)
Zn (0.160, 0.500, 0.840)
Zn (0.840, 0.160, 0.500)
Zn (0.500, 0.840, 0.160)
Zn (0.160, 0.840, 0.500)
Zn (0.160, 0.500, 0.500)
Zn (0.840, 0.500, 0.500)
Zn (0.500, 0.160, 0.840)
Tm (0.000, 0.000, 0.000)
Zn (0.500, 0.160, 0.500)

Calculated values
* offset from the most stable computed form: 501 meV per atom
* DFT total energy: -15.26 eV/cell
* density of states at the Fermi level: 0.364 states/eV/atom
* calculated formation energy: 346 meV per atom

---

First-principles (PBE-GGA) data for a relaxed Sr2LiRuPt crystal, as listed in Alexandria via LeMat-Bulk.

abc: 5.557 4.190 5.557
angles: 90.00 90.00 90.00
Each line ends with the local moment (μB).
Element x y z (fractional)
Sr (0.000, 0.000, 0.500)  -0.03
Pt (0.000, 0.500, 0.000)  0.04
Sr (0.500, 0.000, 0.000)  -0.03
Li (0.000, 0.000, 0.000)  -0.02
Ru (0.500, 0.500, 0.500)  1.33

Calculated values
* DFT total energy: -17.92 eV/cell
* density of states at the Fermi level: 1.560 states/eV/atom
* calculated formation energy: 535 meV per atom

---

First-principles (PBE-GGA) data for a relaxed HfNb2CI crystal, as listed in Alexandria via LeMat-Bulk.

abc: 5.011 5.203 5.011
angles: 90.00 90.00 90.00
Each line ends with the local moment (μB).
Element x y z (fractional)
Hf (0.000, 0.500, 0.000)  0.26
I (0.000, 0.000, 0.000)  0.03
Nb (0.500, 0.000, 0.000)  0.99
C (0.500, 0.500, 0.500)  -0.12
Nb (0.000, 0.000, 0.500)  0.98

Calculated values
* uncorrected formation energy: 2889 meV/atom
* DFT total energy: -26.42 eV/cell
* density of states at the Fermi level: 1.315 states/eV/atom

---

First-principles (PBE-GGA) data for a relaxed VBiCl2 crystal, as listed in Alexandria via LeMat-Bulk.

abc: 11.826 11.826 11.826
angles: 16.32 16.32 16.32
Each line ends with the local moment (μB).
Element x y z (fractional)
Cl (0.938, 0.938, 0.938)  -0.05
Cl (0.062, 0.062, 0.062)  -0.05
Bi (0.500, 0.500, 0.500)  0.04
V (0.000, 0.000, 0.000)  1.69

Calculated values
* offset from the most stable computed form: 526 meV per atom
* uncorrected formation energy: -113 meV/atom
* DFT total energy: -17.15 eV/cell
* density of states at the Fermi level: 0.803 states/eV/atom

---

Let's list spin magnetization in order: 0.00; 0.00; 0.00; 1.21; 2.71; 1.99 μB/cell.